Here is a relaxed structure of MnSb2IF from Alexandria. Energies are from PBE with a Hubbard U.

Cell: 4.698 4.698 6.105 Å, 90.00 90.00 90.00°
Last column: magnetic moment on the atom in μB.
Atoms (fractional coordinates):
1 F 0.000 0.000 0.000  0.00
2 Sb 0.500 0.000 0.000  -0.09
3 Sb 0.000 0.500 0.000  -0.09
4 I 0.000 0.000 0.500  -0.03
5 Mn 0.500 0.500 0.500  4.72

Computed properties:
- Energy relative to the lowest polymorph listed for this composition: 0.000 eV/f.u.
- Magnetization: 4.63 μB/f.u.
- Fermi-level density of states: 0.653 states/eV per atom